(1)
## TlIn2NiBi (PBE)

Data for crystalline TlIn2NiBi at its relaxed geometry.

Values from the calculation:
Fermi-level density of states = 2.946 states/eV per cell
Offset from the most stable computed form = 0 meV per atom
Magnetic moment = 0.0 μB per cell
Crystal system = tetragonal

Cell lengths 5.017, 5.017, 5.402 Å; angles 90.00, 90.00, 90.00 degrees
Space group P4/mmm (No. 123)
Symmetry-distinct sites (fractional):
1 Tl 0.000 0.000 0.000 [1 per cell]
2 In 0.000 0.500 0.500 [2 per cell]
3 Ni 0.500 0.500 0.500 [1 per cell]
4 Bi 0.500 0.500 0.000 [1 per cell]

(2)
## Sm2TlPb9 (PBE)

Data for crystalline Sm2TlPb9 at its relaxed geometry.

Values from the calculation:
Fermi-level density of states = 5.674 states/eV per cell
Magnetic moment = 0.0 μB per cell
Crystal system = tetragonal
DFT total energy = -3.985 eV per atom

Cell lengths 4.860, 4.860, 15.371 Å; angles 90.00, 90.00, 90.00 degrees
Space group P4/mmm (No. 123)
Symmetry-distinct sites (fractional):
1 Sm 0.000 0.000 0.153 [2 per cell]
2 Tl 0.000 0.000 0.500 [1 per cell]
3 Pb 0.000 0.500 0.000 [2 per cell]
4 Pb 0.000 0.500 0.330 [4 per cell]
5 Pb 0.500 0.500 0.169 [2 per cell]
6 Pb 0.500 0.500 0.500 [1 per cell]

(3)
## Ca4InGa (PBE)

Data for crystalline Ca4InGa at its relaxed geometry.

Values from the calculation:
Fermi-level density of states = 21.489 states/eV per cell
Offset from the most stable computed form = 0 meV per atom
Magnetic moment = 0.0 μB per cell
Crystal system = monoclinic

Cell lengths 9.437, 14.368, 6.016 Å; angles 90.00, 109.88, 90.00 degrees
Space group C2/c (No. 15)
Symmetry-distinct sites (fractional):
1 Ca 0.118 0.176 0.064 [8 per cell]
2 Ca 0.200 0.427 0.346 [8 per cell]
3 In 0.000 0.368 0.750 [4 per cell]
4 Ga 0.000 0.002 0.250 [4 per cell]